(1)
16
Lattice="-3.195 1.229 -3.781 4.484 -3.059 -4.782 -6.839 -12.638 1.672" Properties=species:S:1:pos:R:3 comment="Tb2PmSm5 | the Alexandria database | PBE-GGA | relaxed" relative_energy_ev_per_atom=0.0000 ef_mev_per_atom=14.7 energy_ev_per_atom=-4.686 pbc="T T T"
Tb -4.753 -8.050 -2.040
Tb -0.797 -6.418 -4.852
Tb -1.331 -1.733 -2.878
Tb -4.219 -12.736 -4.014
Pm -3.420 -6.319 0.836
Pm 2.242 -1.529 -2.391
Sm 0.000 0.000 0.000
Sm -1.178 -7.849 -1.555
Sm -2.890 -11.005 -1.135
Sm 0.534 -4.693 -1.976
Sm -1.706 -3.160 0.415
Sm -0.649 -12.537 -3.525
Sm -6.462 -11.206 -1.622
Sm 0.912 -3.263 -5.271
Sm -3.038 -4.889 -2.462
Sm -2.512 -9.579 -4.430


(2)
14
Lattice="-2.196 3.399 2.095 -0.872 -2.475 8.059 5.518 3.170 5.597" Properties=species:S:1:pos:R:3 comment="Ce3Zn9Hg2 | the Alexandria database | PBE-GGA | relaxed" ef_mev_per_atom=-259.3 energy_ev_per_atom=-2.393 pbc="T T T"
Ce 0.000 0.000 0.000
Ce -0.186 2.605 5.492
Ce 2.636 1.490 10.259
Zn 2.323 0.348 6.828
Zn 1.545 2.057 13.152
Zn 0.905 2.037 2.599
Zn 3.312 3.618 12.471
Zn -0.862 0.477 3.280
Zn -0.270 2.110 11.163
Zn 2.720 1.985 4.588
Zn 2.536 4.589 10.082
Zn -0.086 -0.495 5.669
Hg 2.442 3.123 7.407
Hg 0.008 0.972 8.344


(3)
4
Lattice="3.069 0.000 0.000 -1.534 3.899 -0.225 0.000 -0.054 6.177" Properties=species:S:1:pos:R:3 comment="U2MnOs | the Alexandria database | PBE-GGA | relaxed" relative_energy_ev_per_atom=0.0925 ef_mev_per_atom=224.4 energy_ev_per_atom=-10.520 pbc="T T T"
U 1.534 1.789 4.625
U 0.000 2.056 1.328
Mn 0.000 0.000 0.000
Os 0.000 -0.027 3.089


(4)
3
Lattice="-0.491 3.161 0.784 -1.536 -1.309 -2.604 -3.184 -1.098 2.430" Properties=species:S:1:pos:R:3 comment="AgC2 | the Alexandria database | PBE-GGA | relaxed" relative_energy_ev_per_atom=1.4705 ef_mev_per_atom=1803.1 energy_ev_per_atom=-5.297 pbc="T T T"
C -2.700 -0.931 2.061
C -0.484 -0.167 0.369
Ag -2.780 -0.368 -0.259


(5)
20
Lattice="-8.522 2.038 -3.332 -6.153 -6.850 1.842 5.473 5.945 7.677" Properties=species:S:1:pos:R:3 comment="Tb3Pr2Er5 | the Alexandria database | PBE-GGA | relaxed" relative_energy_ev_per_atom=0.0000 ef_mev_per_atom=191.7 energy_ev_per_atom=-4.435 pbc="T T T"
Tb -2.734 -0.540 8.403
Tb -6.467 1.673 -2.216
Tb -7.743 -0.247 0.316
Tb -1.459 1.380 5.871
Tb -3.588 -3.843 3.270
Tb -5.614 4.976 2.918
Pr -2.631 5.905 3.142
Pr -6.571 -4.772 3.045
Pr -4.400 0.372 5.491
Pr -4.802 0.761 0.696
Er -5.303 -2.732 0.447
Er -3.898 3.865 5.740
Er -1.951 -2.027 5.491
Er -3.157 2.457 2.983
Er -7.251 3.160 0.696
Er -6.045 -1.325 3.204
Er -7.012 2.069 4.023
Er -2.190 -0.936 2.164
Er -0.060 4.285 4.762
Er -9.142 -3.153 1.425


(6)
8
Lattice="-3.812 0.306 -3.358 -3.370 -0.219 3.807 0.084 5.028 0.363" Properties=species:S:1:pos:R:3 comment="VPt | the Alexandria database | PBE-GGA | relaxed" ef_mev_per_atom=32.4 energy_ev_per_atom=-7.547 pbc="T T T"
V -3.517 -0.044 1.431
V -5.931 2.587 0.555
V -1.167 2.529 0.257
V -3.666 0.132 -0.982
Pt -1.358 0.017 0.085
Pt -3.633 2.657 -0.948
Pt -3.466 2.459 1.761
Pt -5.825 0.071 0.364


(7)
5
Lattice="-4.050 0.633 -3.359 -0.313 -5.255 -0.613 -3.404 -0.271 4.053" Properties=species:S:1:pos:R:3 comment="ZnHg3Os | the Alexandria database | PBE-GGA | relaxed" relative_energy_ev_per_atom=0.0000 ef_mev_per_atom=854.4 energy_ev_per_atom=-1.827 pbc="T T T"
Zn -3.883 -2.446 0.041
Os 0.000 0.000 0.000
Hg -0.156 -2.627 -0.307
Hg -1.702 -0.135 2.027
Hg -2.025 0.317 -1.679


(8)
5
Lattice="4.494 0.000 0.000 0.000 4.749 0.000 0.000 0.000 4.494" Properties=species:S:1:pos:R:3 comment="NiHRh2Au | the Alexandria database | PBE-GGA | relaxed" relative_energy_ev_per_atom=1.4371 energy_ev_per_atom=-3.884 pbc="T T T"
Rh 0.000 0.000 2.247
Rh 2.247 0.000 0.000
Au 0.000 2.375 0.000
H 2.247 2.375 2.247
Ni 0.000 0.000 0.000


(9)
14
Lattice="6.253 0.000 0.169 0.000 6.479 0.000 -2.279 0.000 6.735" Properties=species:S:1:pos:R:3 comment="KNbHgO4 | the Alexandria database | PBE-GGA | relaxed" energy_ev_per_atom=-6.145 raw_formation_energy_ev_per_atom=-1.67 pbc="T T T"
K 2.399 4.859 6.624
K 1.575 1.620 0.281
Nb 1.003 4.859 2.503
Nb 2.971 1.620 4.402
Hg 4.136 4.859 3.453
Hg -0.162 1.620 3.452
O 4.070 3.113 4.921
O -0.096 6.352 1.984
O -0.096 3.366 1.984
O 4.070 0.126 4.921
O 2.730 4.859 1.689
O 1.244 1.620 5.216
O 1.200 4.859 4.296
O 2.774 1.620 2.609


(10)
4
Lattice="-0.082 2.102 -5.714 5.189 -2.749 1.608 -0.006 -2.914 -1.927" Properties=species:S:1:pos:R:3 comment="CaY2P | the Alexandria database | PBE-GGA | relaxed" ef_mev_per_atom=-102.5 energy_ev_per_atom=-5.187 pbc="T T T"
Ca -0.044 -0.406 -3.820
P 2.592 -2.832 -0.159
Y 0.000 0.000 0.000
Y 2.554 -0.324 -2.053


(11)
8
Lattice="-4.710 2.980 0.368 -2.228 -3.927 3.288 -2.045 1.384 5.012" Properties=species:S:1:pos:R:3 comment="KFe2H | the Alexandria database | PBE-GGA | relaxed" relative_energy_ev_per_atom=0.0000 energy_ev_per_atom=-4.680 pbc="T T T"
H -3.469 -0.474 1.828
H -3.871 -1.509 5.063
K 0.000 0.000 0.000
K -5.112 1.945 3.603
Fe -2.556 0.973 1.802
Fe -3.670 -0.991 3.446
Fe -4.692 -0.299 5.951
Fe -7.048 1.190 6.135


(12)
5
Lattice="5.483 0.000 0.000 0.000 5.483 0.000 0.000 0.000 5.228" Properties=species:S:1:pos:R:3 comment="La2MgCdOs | the Alexandria database | PBE-GGA | relaxed" relative_energy_ev_per_atom=0.0000 ef_mev_per_atom=-91.5 energy_ev_per_atom=-4.810 pbc="T T T"
Mg 0.000 0.000 2.614
Cd 2.741 2.741 2.614
Os 0.000 0.000 0.000
La 0.000 2.741 0.000
La 2.741 0.000 0.000


(13)
4
Lattice="-2.027 -2.394 3.588 -2.519 -3.946 -0.891 1.708 -4.259 1.288" Properties=species:S:1:pos:R:3 comment="EuHfRh2 | the Alexandria database | PBE-GGA | relaxed" relative_energy_ev_per_atom=0.1905 ef_mev_per_atom=-524.5 energy_ev_per_atom=-9.257 pbc="T T T"
Eu 0.000 0.000 0.000
Rh -0.709 -2.650 0.996
Rh -2.128 -7.949 2.988
Hf -1.419 -5.299 1.992


(14)
9
Lattice="4.198 0.003 0.003 2.116 7.025 1.182 2.116 1.489 6.967" Properties=species:S:1:pos:R:3 comment="Li6AcPt2 | the Alexandria database | PBE-GGA | relaxed" ef_mev_per_atom=-272.8 energy_ev_per_atom=-3.348 pbc="T T T"
Li 4.224 7.196 5.042
Li 4.205 1.321 3.109
Li 4.205 3.164 1.183
Li 4.215 3.244 5.135
Li 4.215 5.272 3.016
Li 4.224 5.353 6.968
Ac 4.198 0.003 0.003
Pt 2.103 1.523 1.457
Pt 6.327 6.994 6.694


(15)
6
Lattice="1.540 -1.386 4.701 -3.382 -1.945 3.342 0.214 -4.973 1.271" Properties=species:S:1:pos:R:3 comment="Si4RhCl | the Alexandria database | PBE-GGA | relaxed" energy_ev_per_atom=-4.604 raw_formation_energy_ev_per_atom=0.54 pbc="T T T"
Si 0.154 -3.809 5.836
Si -0.505 -5.592 4.131
Si -2.293 -4.087 5.161
Si -0.612 -3.120 3.499
Rh 0.000 0.000 0.000
Cl -1.221 -6.228 6.985


(16)
12
Lattice="-1.854 2.671 0.556 -2.215 -4.265 3.320 6.364 3.619 3.832" Properties=species:S:1:pos:R:3 comment="Zr2H3Au | the Alexandria database | PBE-GGA | relaxed" energy_ev_per_atom=-5.564 pbc="T T T"
Zr 2.010 0.029 6.561
Zr 0.285 1.996 1.147
Zr -0.505 0.803 4.242
Zr 2.800 1.222 3.466
H 1.439 0.056 4.526
H 0.101 0.797 6.287
H 2.793 3.133 4.047
H -0.498 -1.108 3.660
H 2.195 1.227 1.421
H 0.856 1.968 3.182
Au 2.934 2.781 6.203
Au -0.638 -0.756 1.505


(17)
5
Lattice="-0.459 3.797 -3.051 -4.543 0.771 1.644 1.401 2.383 2.755" Properties=species:S:1:pos:R:3 comment="Y2GaTcN | the Alexandria database | PBE-GGA | relaxed" energy_ev_per_atom=-7.683 raw_formation_energy_ev_per_atom=-0.75 pbc="T T T"
Y -2.272 0.386 0.822
Y -0.230 1.899 -1.525
Tc 0.701 1.191 1.377
Ga -1.801 3.476 0.674
N 0.000 0.000 0.000


(18)
4
Lattice="4.481 0.000 0.000 2.241 3.881 0.000 2.241 1.294 3.659" Properties=species:S:1:pos:R:3 comment="TiFeSbPd | the Alexandria database | PBE-GGA | relaxed" energy_ev_per_atom=-6.682 raw_formation_energy_ev_per_atom=-0.26 pbc="T T T"
Sb 4.481 2.587 1.829
Fe 2.241 1.294 0.915
Pd 6.722 3.881 2.744
Ti 0.000 0.000 0.000


(19)
10
Lattice="4.505 0.003 0.845 2.257 5.583 0.366 0.357 0.047 10.450" Properties=species:S:1:pos:R:3 comment="Ca2Sb2Pt | the Alexandria database | PBE-GGA | relaxed" relative_energy_ev_per_atom=0.0000 energy_ev_per_atom=-4.559 raw_formation_energy_ev_per_atom=-0.90 pbc="T T T"
Ca 3.243 3.748 7.508
Ca 2.028 4.290 1.589
Ca 3.876 1.885 4.153
Ca 5.091 1.343 10.072
Sb 5.917 4.263 5.707
Sb 2.010 1.082 1.674
Sb 1.203 1.369 5.955
Sb 5.109 4.551 9.987
Pt 3.866 5.088 4.207
Pt 3.253 0.545 7.455


(20)
4
Lattice="-3.924 2.732 7.831 -2.900 -0.054 8.704 -1.006 2.389 8.801" Properties=species:S:1:pos:R:3 comment="Sc2MnCr | the Alexandria database | PBE-GGA | relaxed" relative_energy_ev_per_atom=0.3430 ef_mev_per_atom=417.0 energy_ev_per_atom=-7.447 pbc="T T T"
Cr -1.957 1.267 6.334
Mn -5.872 3.800 19.003
Sc -7.826 5.064 25.323
Sc -3.919 2.536 12.682


(21)
4
Lattice="-1.661 1.884 -1.959 0.485 -2.054 -2.386 -6.760 -3.898 1.983" Properties=species:S:1:pos:R:3 comment="In2RuSe | the Alexandria database | PBE-GGA | relaxed" energy_ev_per_atom=-4.416 raw_formation_energy_ev_per_atom=0.14 pbc="T T T"
In -0.310 -0.179 0.091
In -3.070 -1.771 0.901
Ru -2.278 -1.060 -1.677
Se -5.658 -3.009 -0.685


(22)
6
Lattice="-2.065 -4.648 0.038 -4.353 -0.869 -2.482 0.005 -2.819 -4.233" Properties=species:S:1:pos:R:3 comment="ZnFeTc4 | the Alexandria database | PBE-GGA | relaxed" ef_mev_per_atom=467.3 energy_ev_per_atom=-8.066 pbc="T T T"
Zn -1.603 -2.084 -1.669
Fe 0.000 0.000 0.000
Tc -4.010 -3.800 -2.057
Tc -1.832 -4.775 -2.932
Tc -4.008 -5.210 -4.173
Tc -2.976 -2.886 -4.192


(23)
6
Lattice="-2.857 1.687 -0.224 -0.042 -3.266 0.625 1.422 3.993 11.962" Properties=species:S:1:pos:R:3 comment="TaSeN | the Alexandria database | PBE-GGA | relaxed" relative_energy_ev_per_atom=0.0000 energy_ev_per_atom=-8.713 raw_formation_energy_ev_per_atom=-0.83 pbc="T T T"
Ta 0.646 2.118 9.702
Ta -0.508 -0.350 5.521
Se -1.508 0.958 3.443
Se -1.212 2.497 11.555
N 0.497 1.402 5.892
N -0.318 3.633 8.705


(24)
4
Lattice="-1.283 -2.369 -3.512 4.219 -0.387 -1.280 0.363 -3.565 2.272" Properties=species:S:1:pos:R:3 comment="SrBe2Sb | the Alexandria database | PBE-GGA | relaxed" energy_ev_per_atom=-2.886 raw_formation_energy_ev_per_atom=0.43 pbc="T T T"
Sb -0.460 -2.967 -0.620
Be 0.000 0.000 0.000
Be 1.468 -1.378 -2.396
Sr 2.291 -1.976 0.496


(25)
4
Lattice="3.898 -0.001 0.000 1.950 3.375 0.000 1.946 1.123 6.664" Properties=species:S:1:pos:R:3 comment="Sc2TeP | the Alexandria database | PBE-GGA | relaxed" relative_energy_ev_per_atom=0.0000 energy_ev_per_atom=-6.696 raw_formation_energy_ev_per_atom=-1.39 pbc="T T T"
Sc 5.847 3.374 0.297
Sc 3.898 2.249 3.034
P 1.948 1.124 1.666
Te 5.845 3.373 4.998


(26)
4
Lattice="7.125 1.037 -0.431 4.306 5.770 0.431 -5.353 -4.011 2.697" Properties=species:S:1:pos:R:3 comment="BaScCu2 | the Alexandria database | PBE-GGA | relaxed" relative_energy_ev_per_atom=0.1365 ef_mev_per_atom=95.6 energy_ev_per_atom=-4.016 pbc="T T T"
Ba 1.844 2.290 1.564
Cu 11.152 6.642 0.000
Cu 4.846 0.872 1.133
Sc 5.380 3.204 0.000